Record 1
Below is a geometry-optimized LaInCl2 structure, with properties calculated at the PBE-GGA level.

- E_form (uncorrected): -1.178 eV/atom
- Size of the total moment: 0.00 μB/cell
- Crystal system: tetragonal

a b c (Å): 5.0030 5.0030 19.4080
angles (deg): 90.00 90.00 90.00
Space group I-42d (No. 122)
One atom of each set of equivalent atoms:
La 0.0000 0.0000 0.0000 x4
In 0.0000 0.0000 0.5000 x4
Cl 0.2148 0.2500 0.1250 x8

=====

Record 2
Below is a geometry-optimized LaInCl structure, with properties calculated at the PBE-GGA level.

- E_form (uncorrected): -0.922 eV/atom
- Size of the total moment: 0.00 μB/cell
- Crystal system: trigonal

a b c (Å): 3.8301 3.8301 7.8334
angles (deg): 90.00 90.00 120.00
Space group P3m1 (No. 156)
One atom of each set of equivalent atoms:
La 0.0000 0.0000 0.0000 x1
In 0.3333 0.6667 0.6812 x1
Cl 0.6667 0.3333 0.2454 x1

=====

Record 3
Below is a geometry-optimized LaIn2Cl structure, with properties calculated at the PBE-GGA level.

- E_form (uncorrected): -0.673 eV/atom
- Size of the total moment: 0.00 μB/cell
- Crystal system: monoclinic

a b c (Å): 3.6472 4.9242 6.6624
angles (deg): 90.00 105.70 90.00
Space group Pm (No. 6)
One atom of each set of equivalent atoms:
La 0.0000 0.0000 0.0000 x1
In 0.3592 0.5000 0.7191 x1
In 0.7376 0.0000 0.4810 x1
Cl 0.1066 0.5000 0.2164 x1

=====

Record 4
Below is a geometry-optimized LaIn2Cl structure, with properties calculated at the PBE-GGA level.

- E_form (uncorrected): -0.260 eV/atom
- Size of the total moment: 0.00 μB/cell
- Crystal system: cubic

a b c (Å): 7.7724 7.7724 7.7724
angles (deg): 90.00 90.00 90.00
Space group Fm-3m (No. 225)
One atom of each set of equivalent atoms:
La 0.0000 0.0000 0.0000 x4
In 0.2500 0.2500 0.2500 x8
Cl 0.0000 0.0000 0.5000 x4

=====

What did the first record say?
Below is a geometry-optimized LaInCl2 structure, with properties calculated at the PBE-GGA level.

- E_form (uncorrected): -1.178 eV/atom
- Size of the total moment: 0.00 μB/cell
- Crystal system: tetragonal

a b c (Å): 5.0030 5.0030 19.4080
angles (deg): 90.00 90.00 90.00
Space group I-42d (No. 122)
One atom of each set of equivalent atoms:
La 0.0000 0.0000 0.0000 x4
In 0.0000 0.0000 0.5000 x4
Cl 0.2148 0.2500 0.1250 x8